TmPuFe: optimized geometry, PBE.

POSCAR file:
```
TmPuFe
1.0
3.297 0.000 0.000
0.000 3.297 0.000
-1.649 -1.649 6.026
Pu Tm Fe
1 1 1
Cartesian
0.000 0.000 3.604 Pu
0.000 0.000 0.324 Tm
1.649 1.649 2.098 Fe
```

Output
Crystal system: tetragonal
Calculated total energy: -9.0182 eV/atom
Space group: I4mm (107)

---

CdSbOs4: optimized geometry, PBE.

POSCAR file:
```
CdSbOs4
1.0
5.206 -0.758 0.696
1.714 -3.913 3.149
2.366 -4.257 -2.106
Os Cd Sb
4 1 1
Cartesian
5.803 -5.580 1.086 Os
4.946 -3.624 -0.487 Os
3.201 -5.201 0.739 Os
4.620 -3.452 2.139 Os
0.000 0.000 0.000 Cd
2.321 -2.232 0.435 Sb
```

Output
Crystal system: cubic
Uncorrected formation energy: 824 meV per atom
Space group: F-43m (216)

---

Pm6TeIr2S3: optimized geometry, PBE.

POSCAR file:
```
Pm6TeIr2S3
1.0
4.083 0.000 0.000
0.000 8.588 0.200
-2.041 -2.586 8.774
Ir S Te Pm
2 3 1 6
Cartesian
2.041 3.962 5.934 Ir
0.000 2.040 3.040 Ir
2.041 4.294 0.100 S
2.041 -0.392 6.004 S
0.000 6.394 2.970 S
2.041 0.000 0.000 Te
2.041 3.668 8.770 Pm
0.000 2.334 0.205 Pm
0.000 1.880 5.871 Pm
0.000 5.978 5.835 Pm
2.041 0.024 3.140 Pm
2.041 4.121 3.103 Pm
```

Output
Crystal system: monoclinic
Uncorrected formation energy: -1418 meV per atom
Space group: C2/m (12)

---

CeInPt: optimized geometry, PBE.

POSCAR file:
```
CeInPt
1.0
3.941 0.000 0.000
0.000 7.787 0.000
0.000 0.000 13.665
In Ce Pt
6 6 6
Cartesian
1.971 3.382 1.601 In
1.971 1.499 10.249 In
1.971 6.288 3.416 In
1.971 3.382 5.232 In
1.971 4.405 8.433 In
1.971 4.405 12.064 In
0.000 1.766 7.478 Ce
0.000 6.021 0.646 Ce
0.000 6.021 6.187 Ce
0.000 1.766 13.019 Ce
0.000 6.595 10.249 Ce
0.000 1.191 3.416 Ce
0.000 3.496 10.249 Pt
1.971 0.520 1.342 Pt
1.971 0.520 5.491 Pt
0.000 4.290 3.416 Pt
1.971 7.267 12.323 Pt
1.971 7.267 8.174 Pt
```

Output
Crystal system: orthorhombic
Calculated total energy: -5.7904 eV/atom
Space group: Pmma (51)

---

LiYZr2: optimized geometry, PBE.

POSCAR file:
```
LiYZr2
1.0
4.853 0.000 0.000
0.000 4.408 0.000
0.000 0.000 4.408
Zr Y Li
2 1 1
Cartesian
0.000 2.204 2.204 Zr
0.000 0.000 0.000 Zr
2.426 0.000 2.204 Y
2.426 2.204 0.000 Li
```

Output
Crystal system: tetragonal
Relative energy among the computed polymorphs: 0.153 eV/atom
Space group: P4/mmm (123)

---

BeNiSb2Pt: optimized geometry, PBE.

POSCAR file:
```
BeNiSb2Pt
1.0
4.793 0.000 0.000
0.000 4.196 0.000
0.000 0.000 4.793
Ni Sb Be Pt
1 2 1 1
Cartesian
2.397 2.098 2.397 Ni
0.000 0.000 2.397 Sb
2.397 0.000 0.000 Sb
0.000 0.000 0.000 Be
0.000 2.098 0.000 Pt
```

Output
Crystal system: tetragonal
Uncorrected formation energy: 522 meV per atom
Space group: P4/mmm (123)

---

no.,volume (Å³/f.u.)
1,66
2,106
3,310
4,70
5,94
6,96